BaNaTcBr2: relaxed, GGA-PBEsol.

Lattice parameters (Å, degrees): 5.057 5.057 5.270 90.00 90.00 90.00
Fractional coordinates of all 5 atoms:
Ba (0.000, 0.000, 0.000)
Na (0.500, 0.500, 0.000)
Tc (0.500, 0.500, 0.500)
Br (0.000, 0.500, 0.500)
Br (0.500, 0.000, 0.500)

DOS(E_F): 0.72 states/eV per atom
Formation energy without anion corrections: -42 meV per atom
M_tot: 1.502 μB per cell